Entry 1:
This record from Alexandria describes Ce3MnPd12 after structural relaxation. The functional is GGA-PBE.

- formation energy (eV/atom) = -0.677
- D(E_F) (states/eV/f.u.) = 10.80

Cell lengths 4.1246, 4.1246, 16.2224 Å; angles 90.00, 90.00, 90.00 degrees
Closest atoms and distances in Å follow each position.
Fractional coordinates of all 16 atoms:
Ce: 0.0000 0.0000 0.0000  12 Pd 2.92-2.93
Ce: 0.0000 0.0000 0.2609  12 Pd 2.86-2.98
Ce: 0.0000 0.0000 0.7391  12 Pd 2.86-2.98
Mn: 0.0000 0.0000 0.5000  12 Pd 2.80-2.92
Pd: 0.0000 0.5000 0.1285  8 Pd 2.91-2.93, 4 Ce 2.93-2.98
Pd: 0.0000 0.5000 0.3830  2 Mn 2.80, 8 Pd 2.80-2.92, 2 Ce 2.86
Pd: 0.0000 0.5000 0.6170  2 Mn 2.80, 8 Pd 2.80-2.92, 2 Ce 2.86
Pd: 0.0000 0.5000 0.8715  8 Pd 2.91-2.93, 4 Ce 2.93-2.98
Pd: 0.5000 0.0000 0.1285  8 Pd 2.91-2.93, 4 Ce 2.93-2.98
Pd: 0.5000 0.0000 0.3830  2 Mn 2.80, 8 Pd 2.80-2.92, 2 Ce 2.86
Pd: 0.5000 0.0000 0.6170  2 Mn 2.80, 8 Pd 2.80-2.92, 2 Ce 2.86
Pd: 0.5000 0.0000 0.8715  8 Pd 2.91-2.93, 4 Ce 2.93-2.98
Pd: 0.5000 0.5000 0.0000  4 Ce 2.92, 8 Pd 2.93
Pd: 0.5000 0.5000 0.2554  8 Pd 2.91-2.92, 4 Ce 2.92
Pd: 0.5000 0.5000 0.5000  8 Pd 2.80, 4 Mn 2.92
Pd: 0.5000 0.5000 0.7446  8 Pd 2.91-2.92, 4 Ce 2.92


Entry 2:
This record from Alexandria describes CoSbRu2 after structural relaxation. The functional is GGA-PBE.

- E_form (uncorrected) (meV/atom) = 369
- D(E_F) (states/eV/f.u.) = 5.26

Cell lengths 3.0045, 4.4063, 4.5703 Å; angles 90.00, 90.00, 90.00 degrees
Closest atoms and distances in Å follow each position.
Fractional coordinates of all 4 atoms:
Co: 0.0000 0.0000 0.0000  4 Ru 2.67, 4 Sb 2.73
Sb: 0.5000 0.0000 0.5000  4 Ru 2.67, 4 Co 2.73
Ru: 0.0000 0.5000 0.5000  4 Sb 2.67, 4 Ru 2.73
Ru: 0.5000 0.5000 0.0000  4 Co 2.67, 4 Ru 2.73


Entry 3:
This record from Alexandria describes ZrCd2Br2 after structural relaxation. The functional is GGA-PBE.

- E above lowest polymorph (meV per atom) = 0
- E_form (uncorrected) (meV/atom) = -227
- D(E_F) (states/eV/f.u.) = 1.30

Cell lengths 11.6124, 11.6124, 11.6124 Å; angles 161.79, 161.79, 25.87 degrees
Closest atoms and distances in Å follow each position.
Fractional coordinates of all 5 atoms:
Zr: 0.0000 0.0000 0.0000  8 Br 3.06
Cd: 0.2500 0.7500 0.5000  4 Cd 2.60
Cd: 0.7500 0.2500 0.5000  4 Cd 2.60
Br: 0.4285 0.4285 0.0000  4 Zr 3.06, 1 Br 3.24
Br: 0.5715 0.5715 0.0000  4 Zr 3.06, 1 Br 3.24


Entry 4:
This record from Alexandria describes Sc2SbTe after structural relaxation. The functional is GGA-PBE.

- E above lowest polymorph (meV per atom) = 294
- E_form (uncorrected) (meV/atom) = -763
- D(E_F) (states/eV/f.u.) = 3.30

Cell lengths 3.7262, 4.6348, 5.6055 Å; angles 90.00, 90.00, 90.00 degrees
Closest atoms and distances in Å follow each position.
Fractional coordinates of all 4 atoms:
Sc: 0.0000 0.0000 0.0000  4 Te 2.97
Sc: 0.0000 0.5000 0.5000  4 Sb 2.97
Sb: 0.5000 0.0000 0.5000  4 Sc 2.97
Te: 0.5000 0.5000 0.0000  4 Sc 2.97


Entry 5:
This record from Alexandria describes Y2TcBiO8 after structural relaxation. The functional is GGA-PBE.

- E_form (uncorrected) (meV/atom) = -2155
- D(E_F) (states/eV/f.u.) = 1.56

Cell lengths 5.0505, 5.0505, 6.8147 Å; angles 90.00, 90.00, 90.88 degrees
Closest atoms and distances in Å follow each position.
Fractional coordinates of all 12 atoms:
Y: 0.0000 0.0000 0.2476  6 O 2.18-2.36
Y: 0.0000 0.0000 0.7524  6 O 2.18-2.36
Tc: 0.5000 0.5000 0.0000  6 O 1.90-1.95
Bi: 0.5000 0.5000 0.5000  6 O 2.20-2.36
O: 0.1895 0.1895 0.5000  2 Y 2.18, 1 Bi 2.20
O: 0.2323 0.2323 0.0000  1 Tc 1.90
O: 0.3179 0.6821 0.2115  1 Tc 1.95
O: 0.3179 0.6821 0.7885  1 Tc 1.95
O: 0.6821 0.3179 0.2115  1 Tc 1.95
O: 0.6821 0.3179 0.7885  1 Tc 1.95
O: 0.7677 0.7677 0.0000  1 Tc 1.90
O: 0.8105 0.8105 0.5000  2 Y 2.18, 1 Bi 2.20


Entry 6:
This record from Alexandria describes YRe2Cl after structural relaxation. The functional is GGA-PBE.

- E above lowest polymorph (meV per atom) = 937
- E_form (uncorrected) (meV/atom) = 743
- D(E_F) (states/eV/f.u.) = 5.76

Cell lengths 4.6850, 4.6850, 4.6850 Å; angles 60.00, 60.00, 60.00 degrees
Closest atoms and distances in Å follow each position.
Fractional coordinates of all 4 atoms:
Y: 0.0000 0.0000 0.0000  4 Re 2.87, 4 Cl 2.87
Re: 0.5000 0.5000 0.5000  4 Re 2.87, 4 Cl 2.87
Re: 0.7500 0.7500 0.7500  4 Re 2.87, 4 Y 2.87
Cl: 0.2500 0.2500 0.2500  4 Re 2.87, 4 Y 2.87


Entry 7:
This record from Alexandria describes PrNd3Tc after structural relaxation. The functional is GGA-PBE.

- E above lowest polymorph (meV per atom) = 0
- formation energy (eV/atom) = 0.049
- D(E_F) (states/eV/f.u.) = 4.89

Cell lengths 6.5679, 6.5679, 13.3429 Å; angles 110.90, 110.90, 35.78 degrees
Closest atoms and distances in Å follow each position.
Fractional coordinates of all 10 atoms:
Pr: 0.0000 0.0000 0.0000  3 Tc 3.02-3.31
Pr: 0.1091 0.1091 0.2783  2 Tc 3.03
Nd: 0.1299 0.1299 0.6148  2 Tc 3.01
Nd: 0.2426 0.2426 0.8908  3 Tc 3.01-3.28
Nd: 0.4393 0.4393 0.3790  1 Tc 3.22, 2 Pr 3.54, 2 Nd 3.57
Nd: 0.4637 0.4637 0.7511  2 Tc 2.86
Nd: 0.7771 0.7771 0.1401  2 Tc 2.85
Nd: 0.7986 0.7986 0.5137  1 Tc 3.16, 2 Nd 3.53
Tc: 0.4375 0.4375 0.1374  2 Nd 2.85, 4 Pr 3.02-3.03
Tc: 0.8015 0.8015 0.7516  7 Nd 2.86-3.16


Entry 8:
This record from Alexandria describes Be4CoPb after structural relaxation. The functional is GGA-PBE.

- formation energy (eV/atom) = 0.256
- D(E_F) (states/eV/f.u.) = 2.26

Cell lengths 4.5419, 4.5419, 4.5419 Å; angles 60.00, 60.00, 60.00 degrees
Closest atoms and distances in Å follow each position.
Fractional coordinates of all 6 atoms:
Be: 0.1215 0.1215 0.1215  6 Be 2.21-2.34
Be: 0.1215 0.1215 0.6356  6 Be 2.21-2.34
Be: 0.1215 0.6356 0.1215  6 Be 2.21-2.34
Be: 0.6356 0.1215 0.1215  6 Be 2.21-2.34
Co: 0.7500 0.7500 0.7500  12 Be 2.66, 4 Pb 2.78
Pb: 0.5000 0.5000 0.5000  12 Be 2.67, 4 Co 2.78


Entry 9:
This record from Alexandria describes TlCd3Pt after structural relaxation. The functional is GGA-PBE.

- E above lowest polymorph (meV per atom) = 0
- formation energy (eV/atom) = -0.057
- D(E_F) (states/eV/f.u.) = 2.59

Cell lengths 5.2558, 5.2558, 5.2558 Å; angles 90.00, 90.00, 90.00 degrees
Closest atoms and distances in Å follow each position.
Fractional coordinates of all 5 atoms:
Tl: 0.0000 0.0000 0.0000  12 Cd 3.72
Cd: 0.0000 0.5000 0.5000  2 Pt 2.63
Cd: 0.5000 0.0000 0.5000  2 Pt 2.63
Cd: 0.5000 0.5000 0.0000  2 Pt 2.63
Pt: 0.5000 0.5000 0.5000  6 Cd 2.63


Entry 10:
This record from Alexandria describes TaTe4Ir after structural relaxation. The functional is GGA-PBE.

- E above lowest polymorph (meV per atom) = 1908
- E_form (uncorrected) (meV/atom) = 1544
- D(E_F) (states/eV/f.u.) = 5.92

Cell lengths 5.9654, 5.9654, 5.9654 Å; angles 60.00, 60.00, 60.00 degrees
Closest atoms and distances in Å follow each position.
Fractional coordinates of all 6 atoms:
Ta: 0.0000 0.0000 0.0000  12 Te 3.50, 4 Ir 3.65
Te: 0.1267 0.6244 0.6244  6 Te 2.97-3.00
Te: 0.6244 0.1267 0.6244  6 Te 2.97-3.00
Te: 0.6244 0.6244 0.1267  6 Te 2.97-3.00
Te: 0.6244 0.6244 0.6244  6 Te 2.97-3.00
Ir: 0.2500 0.2500 0.2500  12 Te 3.50, 4 Ta 3.65


Entry 11:
This record from Alexandria describes Dy6Tl2Hg after structural relaxation. The functional is GGA-PBE.

- E above lowest polymorph (meV per atom) = 211
- formation energy (eV/atom) = -0.057
- D(E_F) (states/eV/f.u.) = 12.25

Cell lengths 8.9280, 8.9280, 8.9280 Å; angles 146.46, 131.86, 59.94 degrees
Closest atoms and distances in Å follow each position.
Fractional coordinates of all 9 atoms:
Dy: 0.0817 0.3357 0.7460  1 Hg 3.11, 3 Tl 3.17
Dy: 0.2419 0.0000 0.2419  2 Hg 3.12, 2 Tl 3.19
Dy: 0.4103 0.6643 0.7460  1 Hg 3.11, 3 Tl 3.17
Dy: 0.5897 0.3357 0.2540  1 Hg 3.11, 3 Tl 3.17
Dy: 0.7581 0.0000 0.7581  2 Hg 3.12, 2 Tl 3.19
Dy: 0.9183 0.6643 0.2540  1 Hg 3.11, 3 Tl 3.17
Tl: 0.3336 0.8336 0.5000  8 Dy 3.17-3.19
Tl: 0.6664 0.1664 0.5000  8 Dy 3.17-3.19
Hg: 0.0000 0.5000 0.5000  8 Dy 3.11-3.12


Entry 12:
This record from Alexandria describes Cd4InPb after structural relaxation. The functional is GGA-PBE.

- E above lowest polymorph (meV per atom) = 2
- formation energy (eV/atom) = 0.054
- D(E_F) (states/eV/f.u.) = 3.26

Cell lengths 6.0259, 6.0259, 6.0259 Å; angles 60.00, 60.00, 60.00 degrees
Closest atoms and distances in Å follow each position.
Fractional coordinates of all 6 atoms:
Cd: 0.1250 0.1250 0.1250  6 Cd 3.01
Cd: 0.1250 0.1250 0.6249  6 Cd 3.01
Cd: 0.1250 0.6249 0.1250  6 Cd 3.01
Cd: 0.6249 0.1250 0.1250  6 Cd 3.01
In: 0.7500 0.7500 0.7500  12 Cd 3.53, 4 Pb 3.69
Pb: 0.5000 0.5000 0.5000  12 Cd 3.53, 4 In 3.69


Entry 13:
This record from Alexandria describes PuClF3 after structural relaxation. The functional is GGA-PBE.

- E above lowest polymorph (meV per atom) = 30
- E_form (uncorrected) (meV/atom) = -2916
- D(E_F) (states/eV/f.u.) = 8.77

Cell lengths 6.2899, 6.2899, 9.5651 Å; angles 116.06, 116.06, 41.81 degrees
Closest atoms and distances in Å follow each position.
Fractional coordinates of all 10 atoms:
Pu: 0.1346 0.1346 0.2068  4 F 2.02-2.25
Pu: 0.8654 0.8654 0.7932  4 F 2.02-2.25
Cl: 0.3718 0.3718 0.2938  1 Pu 2.51
Cl: 0.6282 0.6282 0.7062  1 Pu 2.51
F: 0.0841 0.0841 0.9484  2 Pu 2.25-2.28
F: 0.1516 0.1516 0.4274  1 Pu 2.02
F: 0.3761 0.3761 0.8130  2 Pu 2.25
F: 0.6239 0.6239 0.1870  2 Pu 2.25
F: 0.8484 0.8484 0.5726  1 Pu 2.02
F: 0.9159 0.9159 0.0516  2 Pu 2.25-2.28


Entry 14:
This record from Alexandria describes La2TaIn after structural relaxation. The functional is GGA-PBE.

- formation energy (eV/atom) = 0.128
- D(E_F) (states/eV/f.u.) = 4.54

Cell lengths 3.3702, 5.3646, 6.0430 Å; angles 90.00, 90.00, 90.00 degrees
Closest atoms and distances in Å follow each position.
Fractional coordinates of all 4 atoms:
La: 0.0000 0.0000 0.0000  2 In 3.26, 4 Ta 3.31, 4 La 3.37-3.50
La: 0.0000 0.5000 0.3716  4 Ta 3.29-3.63, 4 In 3.32, 4 La 3.37-3.50
Ta: 0.5000 0.5000 0.8391  2 In 3.24, 6 La 3.29-3.31, 2 Ta 3.37
In: 0.5000 0.0000 0.5383  2 Ta 3.24, 6 La 3.26-3.32, 2 In 3.37


Entry 15:
This record from Alexandria describes LiPb2Se after structural relaxation. The functional is GGA-PBE.

- E_form (uncorrected) (meV/atom) = -399
- D(E_F) (states/eV/f.u.) = 1.51

Cell lengths 7.8961, 7.8961, 7.8961 Å; angles 153.00, 152.17, 39.16 degrees
Closest atoms and distances in Å follow each position.
Fractional coordinates of all 4 atoms:
Li: 0.0000 0.0000 0.0000  4 Se 2.65
Pb: 0.3269 0.8269 0.5000  2 Se 3.17, 2 Li 3.20, 4 Pb 3.50
Pb: 0.6731 0.1731 0.5000  2 Se 3.17, 2 Li 3.20, 4 Pb 3.50
Se: 0.5000 0.5000 0.0000  4 Li 2.65


Entry 16:
This record from Alexandria describes La7Tl3C2 after structural relaxation. The functional is GGA-PBE.

- formation energy (eV/atom) = -0.321
- D(E_F) (states/eV/f.u.) = 7.42

Cell lengths 12.9871, 12.9871, 5.2284 Å; angles 90.00, 90.00, 156.73 degrees
Closest atoms and distances in Å follow each position.
Fractional coordinates of all 12 atoms:
La: 0.0000 0.0000 0.0000  2 C 2.72
La: 0.1000 0.9000 0.5000  2 C 2.62
La: 0.2019 0.7981 0.0000  1 C 2.42
La: 0.3995 0.6005 0.0000  2 C 2.62
La: 0.6005 0.3995 0.0000  2 C 2.62
La: 0.7981 0.2019 0.0000  1 C 2.42
La: 0.9000 0.1000 0.5000  2 C 2.62
Tl: 0.3002 0.6998 0.5000  10 La 3.62-3.70, 2 Tl 3.66
Tl: 0.5000 0.5000 0.5000  12 La 3.65-3.70
Tl: 0.6998 0.3002 0.5000  10 La 3.62-3.70, 2 Tl 3.66
C: 0.1068 0.8932 0.0000  5 La 2.42-2.62
C: 0.8932 0.1068 0.0000  5 La 2.42-2.62


Entry 17:
This record from Alexandria describes Pr2Nd3ThTe6 after structural relaxation. The functional is GGA-PBE.

- E_form (uncorrected) (meV/atom) = -1353
- D(E_F) (states/eV/f.u.) = 8.17

Cell lengths 10.0440, 10.0440, 9.0318 Å; angles 102.50, 102.50, 25.87 degrees
Closest atoms and distances in Å follow each position.
Fractional coordinates of all 12 atoms:
Pr: 0.1656 0.1656 0.3311  6 Te 3.19-3.21
Pr: 0.8344 0.8344 0.6689  6 Te 3.19-3.21
Nd: 0.1679 0.1679 0.8349  6 Te 3.17-3.18
Nd: 0.5000 0.5000 0.5000  6 Te 3.18-3.19
Nd: 0.8321 0.8321 0.1651  6 Te 3.17-3.18
Th: 0.5000 0.5000 0.0000  6 Te 3.17-3.19
Te: 0.0017 0.0017 0.7505  3 Nd 3.17-3.18, 2 Th 3.19, 1 Pr 3.19
Te: 0.3331 0.3331 0.4154  3 Nd 3.18-3.19, 3 Pr 3.20-3.21
Te: 0.3338 0.3338 0.9188  3 Nd 3.17, 1 Th 3.17, 2 Pr 3.19
Te: 0.6662 0.6662 0.0812  3 Nd 3.17, 1 Th 3.17, 2 Pr 3.19
Te: 0.6669 0.6669 0.5846  3 Nd 3.18-3.19, 3 Pr 3.20-3.21
Te: 0.9983 0.9983 0.2495  3 Nd 3.17-3.18, 2 Th 3.19, 1 Pr 3.19


Entry 18:
This record from Alexandria describes NaRhI2N after structural relaxation. The functional is GGA-PBE.

- E above lowest polymorph (meV per atom) = 1429
- E_form (uncorrected) (meV/atom) = 1338
- D(E_F) (states/eV/f.u.) = 6.62

Cell lengths 5.6935, 5.6935, 4.2908 Å; angles 90.00, 90.00, 90.00 degrees
Closest atoms and distances in Å follow each position.
Fractional coordinates of all 5 atoms:
Na: 0.0000 0.0000 0.0000  2 N 2.15
Rh: 0.5000 0.5000 0.5000  8 I 3.56
I: 0.0000 0.5000 0.0000  2 Na 2.85
I: 0.5000 0.0000 0.0000  2 Na 2.85
N: 0.0000 0.0000 0.5000  2 Na 2.15


Entry 19:
This record from Alexandria describes TbCeAl after structural relaxation. The functional is GGA-PBE.

- E above lowest polymorph (meV per atom) = 969
- formation energy (eV/atom) = 0.747
- D(E_F) (states/eV/f.u.) = 6.73

Cell lengths 5.9832, 5.9832, 5.5629 Å; angles 90.00, 90.00, 95.24 degrees
Closest atoms and distances in Å follow each position.
Fractional coordinates of all 6 atoms:
Tb: 0.0000 0.0000 0.0000  2 Al 2.78
Tb: 0.5000 0.5000 0.5000  2 Ce 2.98, 4 Al 3.05
Ce: 0.1625 0.8375 0.5000  1 Ce 2.87, 3 Tb 2.98-3.13
Ce: 0.8375 0.1625 0.5000  1 Ce 2.87, 3 Tb 2.98-3.13
Al: 0.3444 0.3444 0.0000  1 Al 2.51, 1 Tb 2.78
Al: 0.6556 0.6556 0.0000  1 Al 2.51, 1 Tb 2.78


Entry 20:
This record from Alexandria describes Li2Sn5P4O16 after structural relaxation. The functional is GGA-PBE.

- E_form (uncorrected) (meV/atom) = -1914
- D(E_F) (states/eV/f.u.) = 0.00

Cell lengths 5.1941, 9.6263, 9.6896 Å; angles 114.10, 100.60, 102.01 degrees
Closest atoms and distances in Å follow each position.
Fractional coordinates of all 27 atoms:
Li: 0.1020 0.1881 0.4301  4 O 1.91-2.02
Li: 0.8980 0.8119 0.5699  4 O 1.91-2.02
Sn: 0.1785 0.5344 0.2863  3 O 2.19-2.40
Sn: 0.2733 0.8444 0.0240  3 O 2.11-2.30
Sn: 0.5000 0.0000 0.5000  6 O 2.45-2.74
Sn: 0.7267 0.1556 0.9760  3 O 2.11-2.30
Sn: 0.8215 0.4656 0.7137  3 O 2.19-2.40
P: 0.1733 0.2083 0.7637  4 O 1.55-1.56
P: 0.4049 0.7324 0.6852  4 O 1.52-1.60
P: 0.5951 0.2676 0.3148  4 O 1.52-1.60
P: 0.8267 0.7917 0.2363  4 O 1.55-1.56
O: 0.0437 0.3454 0.8197  1 P 1.55
O: 0.0631 0.9553 0.3128  1 P 1.56
O: 0.2288 0.5962 0.7061  1 P 1.54
O: 0.2360 0.7493 0.5415  1 P 1.59
O: 0.3227 0.2172 0.6406  1 P 1.56
O: 0.3229 0.2893 0.3392  1 P 1.52
O: 0.3808 0.2229 0.9108  1 P 1.56
O: 0.4513 0.8937 0.8420  1 P 1.60
O: 0.5487 0.1063 0.1580  1 P 1.60
O: 0.6192 0.7771 0.0892  1 P 1.56
O: 0.6771 0.7107 0.6608  1 P 1.52
O: 0.6773 0.7828 0.3594  1 P 1.56
O: 0.7640 0.2507 0.4585  1 P 1.59
O: 0.7712 0.4038 0.2939  1 P 1.54
O: 0.9369 0.0447 0.6872  1 P 1.56
O: 0.9563 0.6546 0.1803  1 P 1.55